Density functional theory data (PBE+U) for a geometry-optimized VTe2PdF structure.

a b c (Å): 5.157 5.257 5.157
angles (deg): 90.00 90.00 90.00
Atoms (fractional coordinates):
V1 0.000 0.500 0.000
Te1 0.500 0.000 0.000
Te2 0.000 0.000 0.500
F1 0.500 0.500 0.500
Pd1 0.000 0.000 0.000

Computed properties:
E_tot = -3.880 eV/atom
Space group = No. 123
D(E_F) = 5.31 states/eV/f.u.